(1)
Compound: MnCo2BiI
Source: the Alexandria database
Functional: PBE-GGA
Structure: relaxed

Lattice parameters (Å, degrees): 4.597 4.597 6.350 90.00 90.00 90.00
Fractional positions:
Mn  0.000  0.000  0.000
Co  0.000  0.500  0.500
Co  0.500  0.000  0.500
Bi  0.500  0.500  0.000
I  0.500  0.500  0.500

- energy relative to the elements, uncorrected (eV/atom) = 1.427
- V (Å³/cell) = 134.21
- calculated density (g cm⁻³) = 6.29

(2)
Compound: LaRhN
Source: the Alexandria database
Functional: PBE-GGA
Structure: relaxed

Lattice parameters (Å, degrees): 3.827 3.827 3.938 90.00 90.00 120.00
Fractional positions:
La  0.000  0.000  0.000
Rh  0.667  0.333  0.519
N  0.333  0.667  0.605

- energy relative to the elements, uncorrected (eV/atom) = -0.422
- V (Å³/cell) = 49.95
- calculated density (g cm⁻³) = 8.50

(3)
Compound: Pm4Si2Br5
Source: the Alexandria database
Functional: PBE-GGA
Structure: relaxed

Lattice parameters (Å, degrees): 11.772 11.772 8.287 95.18 95.18 20.32
Fractional positions:
Pm  0.014  0.014  0.284
Pm  0.339  0.339  0.546
Pm  0.661  0.661  0.454
Pm  0.986  0.986  0.716
Si  0.451  0.451  0.463
Si  0.549  0.549  0.537
Br  0.139  0.139  0.203
Br  0.216  0.216  0.676
Br  0.500  0.500  0.000
Br  0.784  0.784  0.324
Br  0.861  0.861  0.797

- energy relative to the elements, uncorrected (eV/atom) = -1.310
- V (Å³/cell) = 397.13
- calculated density (g cm⁻³) = 4.33

(4)
Compound: Pr3Ga5F12
Source: the Alexandria database
Functional: PBE-GGA
Structure: relaxed

Lattice parameters (Å, degrees): 12.453 12.453 12.453 109.47 109.47 109.47
Fractional positions:
Pr  0.125  0.250  0.375
Pr  0.125  0.375  0.750
Pr  0.250  0.375  0.125
Pr  0.250  0.875  0.625
Pr  0.375  0.125  0.250
Pr  0.375  0.750  0.125
Pr  0.625  0.250  0.875
Pr  0.625  0.875  0.750
Pr  0.750  0.125  0.375
Pr  0.750  0.625  0.875
Pr  0.875  0.625  0.250
Pr  0.875  0.750  0.625
Ga  0.000  0.000  0.000
Ga  0.000  0.000  0.500
Ga  0.000  0.500  0.000
Ga  0.000  0.500  0.500
Ga  0.125  0.750  0.875
Ga  0.125  0.875  0.250
Ga  0.250  0.125  0.875
Ga  0.250  0.625  0.375
Ga  0.375  0.250  0.625
Ga  0.375  0.625  0.750
Ga  0.500  0.000  0.000
Ga  0.500  0.000  0.500
Ga  0.500  0.500  0.000
Ga  0.500  0.500  0.500
Ga  0.625  0.375  0.250
Ga  0.625  0.750  0.375
Ga  0.750  0.375  0.625
Ga  0.750  0.875  0.125
Ga  0.875  0.125  0.750
Ga  0.875  0.250  0.125
F  0.065  0.639  0.400
F  0.065  0.925  0.665
F  0.075  0.239  0.139
F  0.075  0.335  0.935
F  0.100  0.739  0.665
F  0.100  0.861  0.435
F  0.139  0.075  0.239
F  0.139  0.565  0.900
F  0.165  0.239  0.600
F  0.165  0.425  0.565
F  0.239  0.139  0.075
F  0.239  0.600  0.165
F  0.261  0.335  0.900
F  0.261  0.425  0.361
F  0.335  0.900  0.261
F  0.335  0.935  0.075
F  0.361  0.261  0.425
F  0.361  0.600  0.935
F  0.400  0.065  0.639
F  0.400  0.835  0.761
F  0.425  0.361  0.261
F  0.425  0.565  0.165
F  0.435  0.100  0.861
F  0.435  0.835  0.575
F  0.565  0.165  0.425
F  0.565  0.900  0.139
F  0.575  0.435  0.835
F  0.575  0.639  0.739
F  0.600  0.165  0.239
F  0.600  0.935  0.361
F  0.639  0.400  0.065
F  0.639  0.739  0.575
F  0.665  0.065  0.925
F  0.665  0.100  0.739
F  0.739  0.575  0.639
F  0.739  0.665  0.100
F  0.761  0.400  0.835
F  0.761  0.861  0.925
F  0.835  0.575  0.435
F  0.835  0.761  0.400
F  0.861  0.435  0.100
F  0.861  0.925  0.761
F  0.900  0.139  0.565
F  0.900  0.261  0.335
F  0.925  0.665  0.065
F  0.925  0.761  0.861
F  0.935  0.075  0.335
F  0.935  0.361  0.600

- energy relative to the elements, uncorrected (eV/atom) = -2.500
- V (Å³/cell) = 1486.55
- calculated density (g cm⁻³) = 4.47

(5)
Compound: CrMoC2
Source: the Alexandria database
Functional: PBE-GGA
Structure: relaxed

Lattice parameters (Å, degrees): 4.553 4.553 9.043 90.00 90.00 90.00
Fractional positions:
Cr  0.000  0.000  0.000
Cr  0.000  0.500  0.250
Cr  0.500  0.000  0.750
Cr  0.500  0.500  0.500
Mo  0.000  0.000  0.500
Mo  0.000  0.500  0.750
Mo  0.500  0.000  0.250
Mo  0.500  0.500  0.000
C  0.227  0.250  0.125
C  0.250  0.727  0.375
C  0.250  0.773  0.875
C  0.273  0.250  0.625
C  0.727  0.750  0.625
C  0.750  0.227  0.875
C  0.750  0.273  0.375
C  0.773  0.750  0.125

- V (Å³/cell) = 187.49
- DFT formation energy (eV/atom) = 0.507
- relative energy among the computed polymorphs (kcal/mol of atoms) = 10.052
- calculated density (g cm⁻³) = 6.09

(6)
Compound: NaTl2In2
Source: the Alexandria database
Functional: PBE-GGA
Structure: relaxed

Lattice parameters (Å, degrees): 8.888 8.888 5.415 107.47 107.47 50.21
Fractional positions:
Na  0.210  0.790  0.750
Na  0.790  0.210  0.250
Tl  0.023  0.702  0.115
Tl  0.298  0.977  0.385
Tl  0.702  0.023  0.615
Tl  0.977  0.298  0.885
In  0.219  0.405  0.564
In  0.405  0.219  0.064
In  0.595  0.781  0.936
In  0.781  0.595  0.436

- V (Å³/cell) = 310.18
- DFT formation energy (eV/atom) = -0.019
- relative energy among the computed polymorphs (kcal/mol of atoms) = 0.979
- calculated density (g cm⁻³) = 7.08